First-principles (PBE) data for a relaxed structure of FeOs4, as listed in the Alexandria database.

Cell lengths 6.400, 6.400, 6.400 Å; angles 145.76, 145.76, 49.21 degrees
Sites, in units of the cell vectors:
Fe: 0.000 0.000 0.000
Os: 0.750 0.250 0.500
Os: 0.250 0.750 0.500
Os: 0.602 0.602 0.000
Os: 0.398 0.398 0.000

Results
The value obtained for the uncorrected energy is -49.3 eV for the cell shown. The total magnetic moment is 2.81 Bohr magnetons per cell. As for the calculated density: 16.417 g cm⁻³. The calculation puts the formation energy at 0.810 eV per atom.